# 1
Density functional theory data (PBE) for a relaxed Pr3Nd5Y2 crystal.

Geometry as CIF:
```
data_Pr3Nd5Y2
_cell_length_a 12.3548
_cell_length_b 17.4498
_cell_length_c 6.6123
_cell_angle_alpha 90.00
_cell_angle_beta 90.00
_cell_angle_gamma 90.00
_symmetry_space_group_name_H-M 'I b a m'
_symmetry_Int_Tables_number 72
_symmetry_space_group_name_Hall '-I 2 2c'
loop_
_atom_site_label
_atom_site_type_symbol
_atom_site_fract_x
_atom_site_fract_y
_atom_site_fract_z
_atom_site_occupancy
Pr1 Pr 0.0000 0.0000 0.2500 1
Pr2 Pr 0.0848 0.3309 0.0000 1
Nd1 Nd 0.0000 0.5000 0.2500 1
Nd2 Nd 0.2380 0.1683 0.0000 1
Nd3 Nd 0.2494 0.5000 0.2500 1
Y1 Y 0.0930 0.1688 0.5000 1
```

Output
V	35.64	A^3/atom
calculated formation energy	0.261	eV/atom
polymorph energy (0 for the lowest one)	0.095	eV per atom


# 2
Density functional theory data (PBE) for a relaxed TbErZnTc crystal.

Geometry as CIF:
```
data_TbErZnTc
_cell_length_a 6.9489
_cell_length_b 6.9489
_cell_length_c 6.9489
_cell_angle_alpha 90.00
_cell_angle_beta 90.00
_cell_angle_gamma 90.00
_symmetry_space_group_name_H-M 'F -4 3 m'
_symmetry_Int_Tables_number 216
_symmetry_space_group_name_Hall 'F -4 2 3'
loop_
_atom_site_label
_atom_site_type_symbol
_atom_site_fract_x
_atom_site_fract_y
_atom_site_fract_z
_atom_site_occupancy
Tb1 Tb 0.0000 0.0000 0.0000 1
Er1 Er 0.0000 0.0000 0.5000 1
Zn1 Zn 0.2500 0.2500 0.7500 1
Tc1 Tc 0.2500 0.2500 0.2500 1
```

Output
V	20.97	A^3/atom
calculated formation energy	-0.155	eV/atom


# 3
Density functional theory data (PBE) for a relaxed BaY2Au2 crystal.

Geometry as CIF:
```
data_BaY2Au2
_cell_length_a 8.7276
_cell_length_b 8.7276
_cell_length_c 3.5518
_cell_angle_alpha 90.00
_cell_angle_beta 90.00
_cell_angle_gamma 90.00
_symmetry_space_group_name_H-M 'P 4/m b m'
_symmetry_Int_Tables_number 127
_symmetry_space_group_name_Hall '-P 4 2ab'
loop_
_atom_site_label
_atom_site_type_symbol
_atom_site_fract_x
_atom_site_fract_y
_atom_site_fract_z
_atom_site_occupancy
Ba1 Ba 0.0000 0.0000 0.0000 1
Y1 Y 0.1374 0.3626 0.0000 1
Au1 Au 0.1539 0.6539 0.5000 1
```

Output
V	27.05	A^3/atom
calculated formation energy	-0.536	eV/atom
polymorph energy (0 for the lowest one)	0.026	eV per atom


# 4
Density functional theory data (PBE) for a relaxed LiRuO2 crystal.

Geometry as CIF:
```
data_LiRuO2
_cell_length_a 4.9337
_cell_length_b 2.6878
_cell_length_c 5.8959
_cell_angle_alpha 90.00
_cell_angle_beta 94.86
_cell_angle_gamma 90.00
_symmetry_space_group_name_H-M 'P 1 21/m 1'
_symmetry_Int_Tables_number 11
loop_
_symmetry_equiv_pos_as_xyz
'x,y,z'
'-x,-y,-z'
'-x,y+1/2,-z'
'x,-y+1/2,z'
loop_
_atom_site_label
_atom_site_type_symbol
_atom_site_fract_x
_atom_site_fract_y
_atom_site_fract_z
_atom_site_occupancy
Li1 Li 0.2263 0.2500 0.0953 1
Ru1 Ru 0.2255 0.2500 0.5871 1
O1 O 0.1763 0.7500 0.8362 1
O2 O 0.3577 0.7500 0.3401 1
```

Output
V	9.74	A^3/atom
raw total energy	-6.46	eV/atom


# 5
Density functional theory data (PBE) for a relaxed Ac2HgTe3 crystal.

Geometry as CIF:
```
data_Ac2HgTe3
_cell_length_a 4.2451
_cell_length_b 5.4638
_cell_length_c 18.9175
_cell_angle_alpha 90.00
_cell_angle_beta 90.00
_cell_angle_gamma 90.00
_symmetry_space_group_name_H-M 'I m m m'
_symmetry_Int_Tables_number 71
_symmetry_space_group_name_Hall '-I 2 2'
loop_
_atom_site_label
_atom_site_type_symbol
_atom_site_fract_x
_atom_site_fract_y
_atom_site_fract_z
_atom_site_occupancy
Ac1 Ac 0.0000 0.0000 0.1457 1
Hg1 Hg 0.0000 0.0000 0.5000 1
Te1 Te 0.0000 0.0000 0.3217 1
Te2 Te 0.0000 0.5000 0.5000 1
```

Output
V	36.56	A^3/atom
raw total energy	-4.09	eV/atom


# 6
Density functional theory data (PBE) for a relaxed Dy4Mg5Cu2 crystal.

Geometry as CIF:
```
data_Dy4Mg5Cu2
_cell_length_a 7.9351
_cell_length_b 3.4890
_cell_length_c 9.8258
_cell_angle_alpha 90.00
_cell_angle_beta 92.83
_cell_angle_gamma 90.00
_symmetry_space_group_name_H-M 'P 1 2/m 1'
_symmetry_Int_Tables_number 10
loop_
_symmetry_equiv_pos_as_xyz
'x,y,z'
'-x,-y,-z'
'-x,y,-z'
'x,-y,z'
loop_
_atom_site_label
_atom_site_type_symbol
_atom_site_fract_x
_atom_site_fract_y
_atom_site_fract_z
_atom_site_occupancy
Dy1 Dy 0.1612 0.0000 0.3566 1
Dy2 Dy 0.2229 0.0000 0.9512 1
Mg1 Mg 0.1879 0.5000 0.6578 1
Mg2 Mg 0.4497 0.5000 0.1848 1
Mg3 Mg 0.5000 0.5000 0.5000 1
Cu1 Cu 0.0567 0.5000 0.1332 1
```

Output
V	24.70	A^3/atom
calculated formation energy	-0.104	eV/atom


# 7
Density functional theory data (PBE) for a relaxed LiMnCl5 crystal.

Geometry as CIF:
```
data_LiMnCl5
_cell_length_a 9.1730
_cell_length_b 9.1978
_cell_length_c 9.2810
_cell_angle_alpha 90.00
_cell_angle_beta 116.67
_cell_angle_gamma 90.00
_symmetry_space_group_name_H-M 'C 1 2/c 1'
_symmetry_Int_Tables_number 15
loop_
_symmetry_equiv_pos_as_xyz
'x,y,z'
'-x,-y,-z'
'-x,y,-z+1/2'
'x,-y,z+1/2'
'x+1/2,y+1/2,z'
'-x+1/2,-y+1/2,-z'
'-x+1/2,y+1/2,-z+1/2'
'x+1/2,-y+1/2,z+1/2'
loop_
_atom_site_label
_atom_site_type_symbol
_atom_site_fract_x
_atom_site_fract_y
_atom_site_fract_z
_atom_site_occupancy
Li1 Li 0.0000 0.0465 0.2500 1
Mn1 Mn 0.2500 0.2500 0.0000 1
Cl1 Cl 0.0000 0.2251 0.7500 1
Cl2 Cl 0.1034 0.2543 0.1405 1
Cl3 Cl 0.2448 0.4947 0.9909 1
```

Output
V	24.99	A^3/atom
polymorph energy (0 for the lowest one)	0.018	eV per atom


# 8
Density functional theory data (PBE) for a relaxed La2GdIn crystal.

Geometry as CIF:
```
data_La2GdIn
_cell_length_a 5.7192
_cell_length_b 5.7192
_cell_length_c 3.9471
_cell_angle_alpha 90.00
_cell_angle_beta 90.00
_cell_angle_gamma 90.00
_symmetry_space_group_name_H-M 'P 4/m m m'
_symmetry_Int_Tables_number 123
_symmetry_space_group_name_Hall '-P 4 2'
loop_
_atom_site_label
_atom_site_type_symbol
_atom_site_fract_x
_atom_site_fract_y
_atom_site_fract_z
_atom_site_occupancy
La1 La 0.0000 0.5000 0.0000 1
Gd1 Gd 0.0000 0.0000 0.5000 1
In1 In 0.5000 0.5000 0.5000 1
```

Output
V	32.28	A^3/atom
calculated formation energy	-0.201	eV/atom
polymorph energy (0 for the lowest one)	0.008	eV per atom


# 9
Density functional theory data (PBE) for a relaxed AlH2IrOs crystal.

Geometry as CIF:
```
data_AlH2IrOs
_cell_length_a 3.4589
_cell_length_b 3.4589
_cell_length_c 4.8864
_cell_angle_alpha 90.00
_cell_angle_beta 90.00
_cell_angle_gamma 90.00
_symmetry_space_group_name_H-M 'P 4/m m m'
_symmetry_Int_Tables_number 123
_symmetry_space_group_name_Hall '-P 4 2'
loop_
_atom_site_label
_atom_site_type_symbol
_atom_site_fract_x
_atom_site_fract_y
_atom_site_fract_z
_atom_site_occupancy
Al1 Al 0.0000 0.0000 0.0000 1
H1 H 0.0000 0.5000 0.5000 1
Ir1 Ir 0.5000 0.5000 0.0000 1
Os1 Os 0.0000 0.0000 0.5000 1
```

Output
V	11.69	A^3/atom
raw total energy	-5.40	eV/atom


# 10
Density functional theory data (PBE) for a relaxed LiCeCoGe crystal.

Geometry as CIF:
```
data_LiCeCoGe
_cell_length_a 6.3407
_cell_length_b 6.3407
_cell_length_c 6.3407
_cell_angle_alpha 90.00
_cell_angle_beta 90.00
_cell_angle_gamma 90.00
_symmetry_space_group_name_H-M 'F -4 3 m'
_symmetry_Int_Tables_number 216
_symmetry_space_group_name_Hall 'F -4 2 3'
loop_
_atom_site_label
_atom_site_type_symbol
_atom_site_fract_x
_atom_site_fract_y
_atom_site_fract_z
_atom_site_occupancy
Li1 Li 0.0000 0.0000 0.0000 1
Ce1 Ce 0.2500 0.2500 0.2500 1
Co1 Co 0.0000 0.0000 0.5000 1
Ge1 Ge 0.2500 0.2500 0.7500 1
```

Output
V	15.93	A^3/atom
calculated formation energy	-0.397	eV/atom


# 11
Density functional theory data (PBE) for a relaxed AcEr3Tl3 crystal.

Geometry as CIF:
```
data_AcEr3Tl3
_cell_length_a 9.6354
_cell_length_b 9.6354
_cell_length_c 5.2983
_cell_angle_alpha 90.00
_cell_angle_beta 90.00
_cell_angle_gamma 120.00
_symmetry_space_group_name_H-M 'P 63/m'
_symmetry_Int_Tables_number 176
_symmetry_space_group_name_Hall '-P 6c'
loop_
_atom_site_label
_atom_site_type_symbol
_atom_site_fract_x
_atom_site_fract_y
_atom_site_fract_z
_atom_site_occupancy
Ac1 Ac 0.3333 0.6667 0.2500 1
Er1 Er 0.0038 0.7753 0.7500 1
Tl1 Tl 0.0690 0.4418 0.7500 1
```

Output
V	30.43	A^3/atom
calculated formation energy	-0.243	eV/atom


# 12
Density functional theory data (PBE) for a relaxed SmAlAg3 crystal.

Geometry as CIF:
```
data_SmAlAg3
_cell_length_a 5.9712
_cell_length_b 5.9791
_cell_length_c 6.6772
_cell_angle_alpha 90.00
_cell_angle_beta 116.55
_cell_angle_gamma 90.00
_symmetry_space_group_name_H-M 'C 1 m 1'
_symmetry_Int_Tables_number 8
loop_
_symmetry_equiv_pos_as_xyz
'x,y,z'
'x,-y,z'
'x+1/2,y+1/2,z'
'x+1/2,-y+1/2,z'
loop_
_atom_site_label
_atom_site_type_symbol
_atom_site_fract_x
_atom_site_fract_y
_atom_site_fract_z
_atom_site_occupancy
Sm1 Sm 0.0000 0.0000 0.0000 1
Al1 Al 0.3910 0.0000 0.7800 1
Ag1 Ag 0.0116 0.2497 0.5222 1
Ag2 Ag 0.1024 0.5000 0.2050 1
```

Output
V	21.32	A^3/atom
calculated formation energy	-0.203	eV/atom


# 13
Density functional theory data (PBE) for a relaxed ReNiBP crystal.

Geometry as CIF:
```
data_ReNiBP
_cell_length_a 7.5964
_cell_length_b 3.0290
_cell_length_c 4.3198
_cell_angle_alpha 90.00
_cell_angle_beta 117.96
_cell_angle_gamma 90.00
_symmetry_space_group_name_H-M 'C 1 m 1'
_symmetry_Int_Tables_number 8
loop_
_symmetry_equiv_pos_as_xyz
'x,y,z'
'x,-y,z'
'x+1/2,y+1/2,z'
'x+1/2,-y+1/2,z'
loop_
_atom_site_label
_atom_site_type_symbol
_atom_site_fract_x
_atom_site_fract_y
_atom_site_fract_z
_atom_site_occupancy
Re1 Re 0.0000 0.0000 0.0000 1
Ni1 Ni 0.0973 0.5000 0.5836 1
B1 B 0.2840 0.0000 0.9869 1
P1 P 0.3143 0.5000 0.3611 1
```

Output
V	10.97	A^3/atom
calculated formation energy	-0.108	eV/atom
polymorph energy (0 for the lowest one)	0.065	eV per atom


# 14
Density functional theory data (PBE) for a relaxed NdGa2CuPt2 crystal.

Geometry as CIF:
```
data_NdGa2CuPt2
_cell_length_a 4.7993
_cell_length_b 4.7993
_cell_length_c 11.1744
_cell_angle_alpha 90.00
_cell_angle_beta 90.00
_cell_angle_gamma 90.00
_symmetry_space_group_name_H-M 'I 4/m m m'
_symmetry_Int_Tables_number 139
_symmetry_space_group_name_Hall '-I 4 2'
loop_
_atom_site_label
_atom_site_type_symbol
_atom_site_fract_x
_atom_site_fract_y
_atom_site_fract_z
_atom_site_occupancy
Nd1 Nd 0.0000 0.0000 0.0000 1
Ga1 Ga 0.0000 0.0000 0.2959 1
Cu1 Cu 0.0000 0.0000 0.5000 1
Pt1 Pt 0.0000 0.5000 0.2500 1
```

Output
V	21.45	A^3/atom
calculated formation energy	-0.286	eV/atom


# 15
Density functional theory data (PBE) for a relaxed Fe3Ni12Ru crystal.

Geometry as CIF:
```
data_Fe3Ni12Ru
_cell_length_a 3.5612
_cell_length_b 3.5612
_cell_length_c 14.3055
_cell_angle_alpha 90.00
_cell_angle_beta 90.00
_cell_angle_gamma 90.00
_symmetry_space_group_name_H-M 'P 4/m m m'
_symmetry_Int_Tables_number 123
_symmetry_space_group_name_Hall '-P 4 2'
loop_
_atom_site_label
_atom_site_type_symbol
_atom_site_fract_x
_atom_site_fract_y
_atom_site_fract_z
_atom_site_occupancy
Fe1 Fe 0.0000 0.0000 0.0000 1
Fe2 Fe 0.0000 0.0000 0.2459 1
Ni1 Ni 0.0000 0.5000 0.1235 1
Ni2 Ni 0.0000 0.5000 0.3704 1
Ni3 Ni 0.5000 0.5000 0.0000 1
Ni4 Ni 0.5000 0.5000 0.2472 1
Ni5 Ni 0.5000 0.5000 0.5000 1
Ru1 Ru 0.0000 0.0000 0.5000 1
```

Output
V	11.34	A^3/atom
calculated formation energy	-0.029	eV/atom


# 16
Density functional theory data (PBE) for a relaxed BaSnAs crystal.

Geometry as CIF:
```
data_BaSnAs
_cell_length_a 6.2164
_cell_length_b 4.3785
_cell_length_c 8.0102
_cell_angle_alpha 90.00
_cell_angle_beta 112.78
_cell_angle_gamma 90.00
_symmetry_space_group_name_H-M 'P 1 2/m 1'
_symmetry_Int_Tables_number 10
loop_
_symmetry_equiv_pos_as_xyz
'x,y,z'
'-x,-y,-z'
'-x,y,-z'
'x,-y,z'
loop_
_atom_site_label
_atom_site_type_symbol
_atom_site_fract_x
_atom_site_fract_y
_atom_site_fract_z
_atom_site_occupancy
Ba1 Ba 0.1636 0.0000 0.3281 1
Sn1 Sn 0.2542 0.5000 0.0001 1
As1 As 0.3409 0.5000 0.6833 1
```

Output
V	33.50	A^3/atom
calculated formation energy	-0.494	eV/atom


# 17
Density functional theory data (PBE) for a relaxed HfNp2Rh9 crystal.

Geometry as CIF:
```
data_HfNp2Rh9
_cell_length_a 3.9919
_cell_length_b 3.9919
_cell_length_c 11.9977
_cell_angle_alpha 90.00
_cell_angle_beta 90.00
_cell_angle_gamma 90.00
_symmetry_space_group_name_H-M 'P 4/m m m'
_symmetry_Int_Tables_number 123
_symmetry_space_group_name_Hall '-P 4 2'
loop_
_atom_site_label
_atom_site_type_symbol
_atom_site_fract_x
_atom_site_fract_y
_atom_site_fract_z
_atom_site_occupancy
Hf1 Hf 0.0000 0.0000 0.0000 1
Np1 Np 0.0000 0.0000 0.3315 1
Rh1 Rh 0.0000 0.5000 0.1648 1
Rh2 Rh 0.0000 0.5000 0.5000 1
Rh3 Rh 0.5000 0.5000 0.0000 1
Rh4 Rh 0.5000 0.5000 0.3312 1
```

Output
V	15.93	A^3/atom
calculated formation energy	-0.529	eV/atom


# 18
Density functional theory data (PBE) for a relaxed Sb2PdCI crystal.

Geometry as CIF:
```
data_Sb2PdCI
_cell_length_a 4.7121
_cell_length_b 4.7121
_cell_length_c 4.9390
_cell_angle_alpha 90.00
_cell_angle_beta 90.00
_cell_angle_gamma 90.00
_symmetry_space_group_name_H-M 'P 4/m m m'
_symmetry_Int_Tables_number 123
_symmetry_space_group_name_Hall '-P 4 2'
loop_
_atom_site_label
_atom_site_type_symbol
_atom_site_fract_x
_atom_site_fract_y
_atom_site_fract_z
_atom_site_occupancy
Sb1 Sb 0.0000 0.5000 0.0000 1
Pd1 Pd 0.0000 0.0000 0.5000 1
C1 C 0.5000 0.5000 0.0000 1
I1 I 0.5000 0.5000 0.5000 1
```

Output
V	21.93	A^3/atom
polymorph energy (0 for the lowest one)	0.000	eV per atom


# 19
Density functional theory data (PBE) for a relaxed BeAg3 crystal.

Geometry as CIF:
```
data_BeAg3
_cell_length_a 6.3339
_cell_length_b 6.3339
_cell_length_c 6.3339
_cell_angle_alpha 90.00
_cell_angle_beta 90.00
_cell_angle_gamma 90.00
_symmetry_space_group_name_H-M 'F m -3 m'
_symmetry_Int_Tables_number 225
_symmetry_space_group_name_Hall '-F 4 2 3'
loop_
_atom_site_label
_atom_site_type_symbol
_atom_site_fract_x
_atom_site_fract_y
_atom_site_fract_z
_atom_site_occupancy
Be1 Be 0.0000 0.0000 0.0000 1
Ag1 Ag 0.0000 0.0000 0.5000 1
Ag2 Ag 0.2500 0.2500 0.2500 1
```

Output
V	15.88	A^3/atom
calculated formation energy	0.250	eV/atom


# 20
Density functional theory data (PBE) for a relaxed AcNd2PuO8 crystal.

Geometry as CIF:
```
data_AcNd2PuO8
_cell_length_a 4.1686
_cell_length_b 7.7218
_cell_length_c 5.6031
_cell_angle_alpha 90.00
_cell_angle_beta 96.40
_cell_angle_gamma 90.00
_symmetry_space_group_name_H-M 'P 1 2/m 1'
_symmetry_Int_Tables_number 10
loop_
_symmetry_equiv_pos_as_xyz
'x,y,z'
'-x,-y,-z'
'-x,y,-z'
'x,-y,z'
loop_
_atom_site_label
_atom_site_type_symbol
_atom_site_fract_x
_atom_site_fract_y
_atom_site_fract_z
_atom_site_occupancy
Ac1 Ac 0.0000 0.0000 0.0000 1
Nd1 Nd 0.5000 0.2470 0.5000 1
Pu1 Pu 0.0000 0.5000 0.0000 1
O1 O 0.0512 0.2911 0.7651 1
O2 O 0.4143 0.5000 0.2104 1
O3 O 0.4868 0.0000 0.7376 1
```

Output
V	14.94	A^3/atom
raw total energy	-8.63	eV/atom